Below is crystalline Ta2NbV at its relaxed geometry, with properties calculated at the PBE level.

a b c (Å): 4.597 4.597 4.597
angles (deg): 60.00 60.00 60.00
Fractional coordinates of all 4 atoms:
Nb 0.500 0.500 0.500
V 0.000 0.000 0.000
Ta 0.250 0.250 0.250
Ta 0.750 0.750 0.750

Values from the calculation:
ΔE to the lowest computed polymorph (meV per atom): 17
Energy (eV/atom): -10.686
Calculated volume (A^3/atom): 17.172
Crystal system: cubic